No. 1
An optimized crystal structure of PaRuRh, computed with PBE.

```
PaRuRh
1.0
-2.604 -4.379 1.595
3.360 -0.393 4.129
-5.576 7.183 1.824
Pa Ru Rh
4 4 4
Cartesian
-2.289 1.286 3.825 Pa
1.990 -1.309 3.547 Pa
0.452 3.118 4.990 Pa
-1.233 -3.463 2.177 Pa
-3.593 1.279 6.443 Ru
-1.226 1.132 1.106 Ru
0.308 1.070 3.302 Ru
-2.145 3.334 5.513 Ru
-0.081 -1.285 5.066 Rh
-3.247 4.692 3.116 Rh
-4.549 2.503 3.913 Rh
-1.761 -1.088 3.001 Rh
```

Summary:
Energy above the most stable polymorph in this dataset in meV/atom: 309
Fermi-level density of states in states/eV/atom: 0.766
Crystal system: orthorhombic
ΔH_f (0 K) in eV/atom: -0.35


No. 2
An optimized crystal structure of NaGeIO2, computed with PBE.

```
NaGeIO2
1.0
-1.403 -1.693 3.750
2.947 -3.178 -0.332
3.806 3.229 2.881
O I Ge Na
2 1 1 1
Cartesian
1.474 -1.589 -0.166 O
-0.702 -0.846 1.875 O
1.903 1.614 1.441 I
2.675 -0.821 3.150 Ge
0.000 0.000 0.000 Na
```

Summary:
Energy above the most stable polymorph in this dataset in meV/atom: 1128
Fermi-level density of states in states/eV/atom: 1.091
Crystal system: tetragonal
Energy relative to the elements, uncorrected in eV/atom: 0.372


No. 3
An optimized crystal structure of AlZnMo2, computed with PBE.

```
AlZnMo2
1.0
-4.496 -1.587 -1.452
3.707 -1.080 -3.153
0.409 -2.331 1.280
Mo Al Zn
2 1 1
Cartesian
-0.395 -1.333 -2.303 Mo
0.000 0.000 0.000 Mo
2.058 -1.706 -0.937 Al
-2.044 -1.959 -0.086 Zn
```

Summary:
Fermi-level density of states in states/eV/atom: 0.577
Crystal system: orthorhombic
ΔH_f (0 K) in eV/atom: 0.02


No. 4
An optimized crystal structure of HgMo2, computed with PBE.

```
HgMo2
1.0
0.968 2.338 -1.744
-1.973 0.512 2.300
10.352 2.003 8.435
Mo Hg
4 2
Cartesian
3.326 1.956 4.471 Mo
2.898 2.292 1.975 Mo
6.022 2.897 4.521 Mo
6.449 2.561 7.016 Mo
0.044 1.321 1.796 Hg
9.304 3.532 7.195 Hg
```

Summary:
Energy above the most stable polymorph in this dataset in meV/atom: 1
Fermi-level density of states in states/eV/atom: 0.553
Crystal system: trigonal
ΔH_f (0 K) in eV/atom: 0.40


No. 5
An optimized crystal structure of Nd12Er3Al, computed with PBE.

```
Nd12Er3Al
1.0
-2.617 -0.543 -4.301
-0.858 -4.860 1.136
-17.221 5.332 9.802
Al Nd Er
1 12 3
Cartesian
0.000 0.000 0.000 Al
-14.734 1.323 5.815 Nd
-10.348 -0.035 3.318 Nd
-5.962 -1.393 0.822 Nd
-7.726 1.716 1.502 Nd
-3.335 0.356 -0.997 Nd
-15.623 2.275 9.217 Nd
-16.502 4.433 6.498 Nd
-2.456 -1.802 1.722 Nd
-1.737 -2.701 -1.583 Nd
-12.112 3.074 3.999 Nd
-6.847 -0.443 4.221 Nd
-11.232 0.915 6.717 Nd
-8.610 2.666 4.901 Er
-4.244 1.314 2.416 Er
-12.977 4.018 7.387 Er
```

Summary:
Fermi-level density of states in states/eV/atom: 1.325
Crystal system: tetragonal
ΔH_f (0 K) in eV/atom: -0.02


No. 6
An optimized crystal structure of Pm2Sm6Dy3Tm, computed with PBE.

```
Pm2Sm6Dy3Tm
1.0
6.234 0.000 0.005
-3.115 5.399 0.005
-1.047 -1.813 11.729
Pm Sm Dy Tm
2 6 3 1
Cartesian
3.116 1.800 0.005 Pm
0.002 3.599 0.005 Pm
2.080 3.602 2.962 Sm
2.069 -0.003 2.952 Sm
-1.036 1.791 2.952 Sm
3.108 1.796 8.786 Sm
-0.009 -0.015 8.776 Sm
0.002 3.589 8.786 Sm
4.154 -0.008 5.869 Dy
-2.083 3.594 5.869 Dy
1.036 1.793 5.869 Dy
0.000 0.000 0.000 Tm
```

Summary:
Fermi-level density of states in states/eV/atom: 1.263
Crystal system: monoclinic
ΔH_f (0 K) in eV/atom: 0.01


No. 7
An optimized crystal structure of PaTe4Pd, computed with PBE.

```
PaTe4Pd
1.0
8.145 -0.639 0.000
-3.874 7.193 0.000
-2.136 -3.277 7.173
Pa Pd Te
2 2 8
Cartesian
-0.890 5.202 3.586 Pa
3.182 4.883 0.000 Pa
-2.987 1.985 3.586 Pd
1.085 1.665 0.000 Pd
2.940 0.602 5.038 Te
1.300 -0.664 1.452 Te
5.373 -0.984 2.134 Te
-3.250 4.273 5.056 Te
3.285 2.349 1.470 Te
-0.787 2.668 2.116 Te
4.877 -2.995 5.721 Te
-1.313 0.677 5.703 Te
```

Summary:
Fermi-level density of states in states/eV/atom: 1.224
Crystal system: tetragonal
Energy relative to the elements, uncorrected in eV/atom: -0.375


No. 8
An optimized crystal structure of Sm3Er2Pt2, computed with PBE.

```
Sm3Er2Pt2
1.0
3.706 -0.001 -0.831
-2.280 5.883 -1.487
0.014 0.375 8.738
Sm Er Pt
3 2 2
Cartesian
2.574 1.381 2.801 Sm
-1.134 4.876 3.619 Sm
1.853 -0.001 -0.415 Sm
1.318 3.130 5.870 Er
0.122 3.127 0.550 Er
-1.791 5.249 0.702 Pt
3.231 1.009 5.718 Pt
```

Summary:
Fermi-level density of states in states/eV/atom: 1.166
Crystal system: triclinic
ΔH_f (0 K) in eV/atom: -0.74


No. 9
An optimized crystal structure of Pm6InSn2, computed with PBE.

```
Pm6InSn2
1.0
-0.669 2.738 3.357
-7.160 -4.307 2.085
7.564 -2.319 3.399
Pm In Sn
6 1 2
Cartesian
2.054 -0.630 0.923 Pm
-0.172 -1.298 3.886 Pm
0.294 -4.826 3.995 Pm
-4.613 -1.204 2.925 Pm
-1.944 -1.170 0.566 Pm
-2.975 -4.323 5.795 Pm
-7.494 -2.937 3.764 In
2.656 -2.982 2.962 Sn
-2.252 -3.644 2.523 Sn
```

Summary:
Fermi-level density of states in states/eV/atom: 1.415
Crystal system: hexagonal
ΔH_f (0 K) in eV/atom: -0.48


No. 10
An optimized crystal structure of CrFe2TcH, computed with PBE.

```
CrFe2TcH
1.0
-2.342 -2.428 -1.309
0.426 -2.015 2.975
-2.792 1.815 1.629
Tc Fe Cr H
1 2 1 1
Cartesian
-2.354 -1.314 1.647 Tc
0.213 -1.007 1.488 Fe
-1.171 -1.214 -0.655 Fe
-1.396 0.907 0.814 Cr
0.000 0.000 0.000 H
```

Summary:
Energy above the most stable polymorph in this dataset in meV/atom: 0
Fermi-level density of states in states/eV/atom: 1.159
Crystal system: tetragonal


No. 11
An optimized crystal structure of Pu4Mn2Zn, computed with PBE.

```
Pu4Mn2Zn
1.0
7.275 0.001 -0.001
-2.423 6.859 0.001
-2.429 -3.428 5.939
Pu Mn Zn
8 4 2
Cartesian
1.314 3.454 3.057 Pu
4.028 1.535 4.366 Pu
-2.033 4.883 2.342 Pu
2.712 -0.218 1.461 Pu
-0.785 -1.145 5.083 Pu
2.853 -1.256 5.019 Pu
-0.926 1.417 2.405 Pu
2.529 5.058 0.024 Pu
-1.408 3.569 4.693 Mn
1.405 0.705 3.712 Mn
5.043 -0.993 2.731 Mn
-0.194 3.584 0.743 Mn
0.000 0.000 0.000 Zn
3.637 2.573 1.484 Zn
```

Summary:
Fermi-level density of states in states/eV/atom: 2.988
Crystal system: tetragonal
ΔH_f (0 K) in eV/atom: 0.16


No. 12
An optimized crystal structure of Li2CdAuO, computed with PBE.

```
Li2CdAuO
1.0
-2.875 2.723 0.265
-0.554 -0.202 -3.925
-3.296 -3.543 0.648
Cd Li Au O
1 2 1 1
Cartesian
-1.648 -1.772 0.324 Cd
-0.277 -0.101 -1.963 Li
-1.438 1.362 0.133 Li
-3.363 -0.511 -1.506 Au
0.000 0.000 0.000 O
```

Summary:
Fermi-level density of states in states/eV/atom: 0.295
Crystal system: tetragonal
Energy relative to the elements, uncorrected in eV/atom: -0.927


No. 13
An optimized crystal structure of NpPbAu2, computed with PBE.

```
NpPbAu2
1.0
3.374 0.000 0.000
0.000 3.374 0.000
0.000 0.000 8.289
Np Pb Au
1 1 2
Cartesian
1.687 1.687 0.000 Np
1.687 1.687 4.145 Pb
0.000 0.000 6.303 Au
0.000 0.000 1.986 Au
```

Summary:
Fermi-level density of states in states/eV/atom: 2.008
Crystal system: tetragonal
ΔH_f (0 K) in eV/atom: -0.07


No. 14
An optimized crystal structure of NaErIn2Br6, computed with PBE.

```
NaErIn2Br6
1.0
-2.611 7.433 -0.603
-2.132 2.879 -7.042
-7.762 1.349 -1.532
Br Na In Er
6 1 2 1
Cartesian
-7.282 3.156 -4.551 Br
-2.467 1.574 -0.502 Br
-8.634 6.414 -6.074 Br
-3.261 2.006 -4.439 Br
-3.885 5.087 -1.903 Br
-7.940 6.201 -2.302 Br
-8.154 9.159 -7.084 Na
-7.246 1.522 -1.616 In
-5.635 6.041 -4.691 In
-1.795 3.365 -2.513 Er
```

Summary:
Fermi-level density of states in states/eV/atom: 0.000
Crystal system: trigonal
Energy relative to the elements, uncorrected in eV/atom: -1.326